BaSb2Au: relaxed, PBE-GGA.

```
BaSb2Au
1.0
4.031 0.000 0.000
0.000 4.032 0.000
0.000 0.000 7.299
Au Ba Sb
1 1 2
direct
0.500 0.500 0.250
0.500 0.500 0.750
0.000 0.000 0.059
0.000 0.000 0.441
```

Raw formation energy (eV per atom): -0.25
Space group: No. 123
Magnetic moment (μB per cell): 0.00
DOS at the Fermi energy (states/eV/atom): 0.8415

---

Al5V4: relaxed, PBE-GGA.

```
Al5V4
1.0
-2.888 -1.039 1.368
-1.850 -3.743 -2.621
2.947 -4.729 6.755
Al V
5 4
direct
0.108 0.225 0.559
0.892 0.775 0.441
0.794 0.536 0.875
0.206 0.464 0.125
0.000 0.000 0.000
0.575 0.074 0.776
0.425 0.926 0.224
0.325 0.684 0.665
0.675 0.316 0.335
```

Space group: No. 12
Magnetic moment (μB per cell): 0.00
ΔH_f (0 K) (kJ/mol of formula units): -175
DOS at the Fermi energy (states/eV/atom): 0.7807

---

RbCu2Ir2: relaxed, PBE-GGA.

```
RbCu2Ir2
1.0
-2.481 3.784 -0.050
-3.411 -2.210 1.988
-1.226 1.970 5.237
Ir Cu Rb
2 2 1
direct
0.373 0.373 0.253
0.627 0.627 0.747
0.750 0.250 0.500
0.250 0.750 0.500
0.000 0.000 0.000
```

Space group: No. 139
Magnetic moment (μB per cell): 0.00
ΔH_f (0 K) (kJ/mol of formula units): 346
DOS at the Fermi energy (states/eV/atom): 1.3020

---

Sc5Al2Co2Au: relaxed, PBE-GGA.

```
Sc5Al2Co2Au
1.0
-2.805 -1.259 -1.302
5.751 -5.666 -6.912
0.397 -8.050 6.928
Sc Al Co Au
10 4 4 2
direct
0.500 0.205 0.076
0.500 0.795 0.924
0.500 0.076 0.795
0.500 0.705 0.424
0.500 0.924 0.205
0.500 0.295 0.576
0.500 0.576 0.705
0.500 0.424 0.295
0.500 0.500 0.000
0.500 0.000 0.500
0.000 0.674 0.174
0.000 0.326 0.826
0.000 0.174 0.326
0.000 0.826 0.674
0.000 0.134 0.634
0.000 0.866 0.366
0.000 0.634 0.866
0.000 0.366 0.134
0.000 0.000 0.000
0.000 0.500 0.500
```

Space group: No. 127
Magnetic moment (μB per cell): 0.00
ΔH_f (0 K) (kJ/mol of formula units): -397
DOS at the Fermi energy (states/eV/atom): 0.6492

---

Rb2PaAsS6: relaxed, PBE-GGA.

```
Rb2PaAsS6
1.0
6.268 0.000 0.000
0.000 7.346 0.000
0.000 -3.673 6.361
Rb Pa As S
2 1 1 6
direct
0.207 0.333 0.667
0.793 0.667 0.333
0.500 0.000 0.000
0.000 0.000 0.000
0.778 0.157 0.314
0.778 0.157 0.843
0.778 0.686 0.843
0.222 0.843 0.157
0.222 0.314 0.157
0.222 0.843 0.686
```

Raw formation energy (eV per atom): -0.90
Space group: No. 164
Magnetic moment (μB per cell): 0.00
DOS at the Fermi energy (states/eV/atom): 0.2700

---

Sm2ThSe: relaxed, PBE-GGA.

```
Sm2ThSe
1.0
3.667 0.000 0.000
0.000 3.667 0.000
0.000 0.000 8.523
Se Sm Th
1 2 1
direct
0.500 0.500 0.000
0.000 0.000 0.787
0.000 0.000 0.213
0.500 0.500 0.500
```

Raw formation energy (eV per atom): -0.72
Space group: No. 123
Magnetic moment (μB per cell): 0.00
DOS at the Fermi energy (states/eV/atom): 0.6876

---

ScRuBr2: relaxed, PBE-GGA.

```
ScRuBr2
1.0
4.201 0.000 0.000
0.000 4.548 -0.002
0.000 0.245 4.546
Br Ru Sc
2 1 1
direct
0.000 0.016 0.015
0.000 0.484 0.485
0.500 0.250 0.250
0.500 0.750 0.750
```

Raw formation energy (eV per atom): -0.05
Space group: No. 65
Magnetic moment (μB per cell): 0.91
DOS at the Fermi energy (states/eV/atom): 0.2710

---

Al2CoTe: relaxed, PBE-GGA.

```
Al2CoTe
1.0
-0.952 0.144 -2.793
1.786 -2.239 -0.725
-6.101 -5.449 1.798
Te Co Al
1 1 2
direct
0.500 0.500 0.750
0.500 0.500 0.250
0.000 0.000 0.086
0.000 0.000 0.414
```

Raw formation energy (eV per atom): -0.04
Space group: No. 123
Magnetic moment (μB per cell): 0.57
DOS at the Fermi energy (states/eV/atom): 0.4832

---

ZnReOs: relaxed, PBE-GGA.

```
ZnReOs
1.0
4.399 0.000 0.000
-2.200 3.810 0.000
0.000 0.000 5.189
Re Zn Os
2 2 2
direct
0.667 0.333 0.987
0.000 0.000 0.746
0.667 0.333 0.488
0.333 0.667 0.488
0.333 0.667 0.989
0.000 0.000 0.250
```

Space group: No. 156
Magnetic moment (μB per cell): 0.00
ΔH_f (0 K) (kJ/mol of formula units): 42
DOS at the Fermi energy (states/eV/atom): 0.4155

---

LiCa2GaCu6: relaxed, PBE-GGA.

```
LiCa2GaCu6
1.0
5.326 -0.619 -0.501
-0.618 6.484 0.307
1.945 3.088 5.303
Li Ca Ga Cu
1 2 1 6
direct
0.500 0.500 0.000
0.430 0.844 0.342
0.570 0.156 0.658
0.000 0.000 0.000
0.032 0.584 0.136
0.994 0.854 0.715
0.120 0.324 0.533
0.968 0.416 0.864
0.006 0.146 0.285
0.880 0.676 0.467
```

Space group: No. 2
Magnetic moment (μB per cell): 0.00
ΔH_f (0 K) (kJ/mol of formula units): -91
DOS at the Fermi energy (states/eV/atom): 0.4714

---

FeReSi2: relaxed, PBE-GGA.

```
FeReSi2
1.0
4.186 0.000 0.000
2.093 3.626 0.000
2.093 1.209 3.418
Fe Re Si
1 1 2
direct
0.500 0.500 0.500
0.750 0.750 0.750
0.000 0.000 0.000
0.250 0.250 0.250
```

Raw formation energy (eV per atom): 0.24
Space group: No. 216
Magnetic moment (μB per cell): 1.29
DOS at the Fermi energy (states/eV/atom): 0.9434

---

Nd2SmP: relaxed, PBE-GGA.

```
Nd2SmP
1.0
-0.722 -3.223 2.115
1.570 -3.434 -1.061
7.990 -0.375 5.791
P Nd Sm
1 2 1
direct
0.000 0.000 0.000
0.274 0.274 0.178
0.726 0.726 0.822
0.500 0.500 0.500
```

Space group: No. 166
Magnetic moment (μB per cell): 0.00
ΔH_f (0 K) (kJ/mol of formula units): -248
DOS at the Fermi energy (states/eV/atom): 0.9323

---

DOS at the Fermi energy of number 8 (Al2CoTe)?
0.4832 states/eV/atom